Density functional theory data (PBE-GGA) for a geometry-optimized La3CI structure.

Its energy above the lowest structure with this stoichiometry is 0 meV/atom.

The space group is P2_1/m (No. 11) and the conventional cell measures 5.188, 7.510 and 8.751 Å, with angles of 90.00, 106.79 and 90.00 degrees. The asymmetric unit holds La at (0.012, 0.250, 0.025), La at (0.396, 0.007, 0.786), C at (0.494, 0.250, 0.989) and I at (0.212, 0.250, 0.429).


Density functional theory data (PBE-GGA) for a geometry-optimized DyHgPd structure.

As for the energy relative to the elements: -0.6749 eV/atom.

The space group is P6_3/mmc (No. 194) and the conventional cell measures 5.0133, 5.0133 and 5.9812 Å, with angles of 90.00, 90.00 and 120.00 degrees. The asymmetric unit holds Dy at (0.3333, 0.6667, 0.2500), Hg at (0.0000, 0.0000, 0.0000) and Pd at (0.3333, 0.6667, 0.7500).


Density functional theory data (PBE-GGA) for a geometry-optimized CaTc2Br structure.

Its energy above the lowest structure with this stoichiometry is 983 meV/atom.

The space group is P4/mmm (No. 123) and the conventional cell measures 3.819, 3.819 and 5.724 Å, with angles of 90.00, 90.00 and 90.00 degrees. The asymmetric unit holds Ca at (0.000, 0.000, 0.000), Tc at (0.500, 0.500, 0.310) and Br at (0.000, 0.000, 0.500).


Density functional theory data (PBE-GGA) for a geometry-optimized Pr2NdSm structure.

As for the energy relative to the elements: 0.1286 eV/atom. Its energy above the lowest structure with this stoichiometry is 117 meV/atom.

The space group is Fm-3m (No. 225) and the conventional cell measures 8.275, 8.275 and 8.275 Å, with angles of 90.00, 90.00 and 90.00 degrees. The asymmetric unit holds Pr at (0.250, 0.250, 0.250), Nd at (0.000, 0.000, 0.000) and Sm at (0.000, 0.000, 0.500).


Density functional theory data (PBE-GGA) for a geometry-optimized TaSb2Os structure.

Its energy above the lowest structure with this stoichiometry is 166 meV/atom.

The space group is R3m (No. 160, hexagonal axes) and the conventional cell measures 3.1433, 3.1433 and 31.9950 Å, with angles of 90.00, 90.00 and 120.00 degrees. The asymmetric unit holds Ta at (0.0000, 0.0000, 0.0000), Sb at (0.0000, 0.0000, 0.5372), Sb at (0.0000, 0.0000, 0.7396) and Os at (0.0000, 0.0000, 0.2696).


Density functional theory data (PBE-GGA) for a geometry-optimized Er2Sc17 structure.

As for the energy relative to the elements: 0.2434 eV/atom.

The space group is R-3m (No. 166, hexagonal axes) and the conventional cell measures 10.3903, 10.3903 and 16.1062 Å, with angles of 90.00, 90.00 and 120.00 degrees. The asymmetric unit holds Er at (0.0000, 0.0000, 0.1725), Sc at (0.0000, 0.0000, 0.3987), Sc at (0.0000, 0.2976, 0.5000), Sc at (0.0000, 0.5000, 0.0000) and Sc at (0.0090, 0.5045, 0.6391).